No. 1
First-principles (PBE) data for an optimized crystal structure of RbH3Pd2, as listed in Alexandria via LeMat-Bulk.

raw total energy	-89.378	eV per cell
theoretical density	4.4	Mg/m³

a b c (Å): 8.2660 10.1546 5.4082
angles (deg): 90.00 90.00 90.00
Closest atoms and distances in Å follow each position.
Space group Cmcm (No. 63)
Inequivalent atoms, fractional coordinates:
Rb1 0.0000 0.2021 0.2500 x4  3 H 2.83-3.07
H1 0.0000 0.4955 0.7500 x4  4 Pd 1.94
H2 0.2028 0.0226 0.7500 x8  2 Pd 1.74
Pd1 0.1674 0.5000 0.0000 x8  4 H 1.74-1.94

=====

No. 2
First-principles (PBE) data for an optimized crystal structure of MgNbI2O, as listed in Alexandria via LeMat-Bulk.

offset from the most stable computed form	501.7	meV per atom
theoretical density	5.4	Mg/m³

a b c (Å): 5.6878 5.6878 3.7012
angles (deg): 90.00 90.00 90.00
Closest atoms and distances in Å follow each position.
Space group P4/mmm (No. 123)
Inequivalent atoms, fractional coordinates:
Mg1 0.0000 0.0000 0.0000 x1  2 O 1.85
Nb1 0.5000 0.5000 0.5000 x1  8 I 3.39, 2 Nb 3.70
I1 0.0000 0.5000 0.0000 x2  2 Mg 2.84
O1 0.0000 0.0000 0.5000 x1  2 Mg 1.85

=====

No. 3
First-principles (PBE) data for an optimized crystal structure of GdThSn, as listed in Alexandria via LeMat-Bulk.

offset from the most stable computed form	0.0	meV per atom
theoretical density	9.7	Mg/m³

a b c (Å): 4.1354 4.1354 10.2228
angles (deg): 90.00 90.00 90.00
Closest atoms and distances in Å follow each position.
Space group I4mm (No. 107)
Inequivalent atoms, fractional coordinates:
Gd1 0.0000 0.0000 0.0000 x2  1 Th 3.14, 4 Sn 3.29
Th1 0.0000 0.0000 0.3073 x2  1 Gd 3.14, 5 Sn 3.35-3.48
Sn1 0.0000 0.0000 0.6477 x2  5 Gd 3.29-3.60, 5 Th 3.35-3.48

=====

No. 4
First-principles (PBE) data for an optimized crystal structure of AcLaYZn, as listed in Alexandria via LeMat-Bulk.

offset from the most stable computed form	280.6	meV per atom
theoretical density	6.8	Mg/m³

a b c (Å): 7.9812 7.9812 7.9812
angles (deg): 90.00 90.00 90.00
Closest atoms and distances in Å follow each position.
Space group F-43m (No. 216)
Inequivalent atoms, fractional coordinates:
Ac1 0.0000 0.0000 0.0000 x4  4 La 3.46, 4 Y 3.46
La1 0.2500 0.2500 0.2500 x4  4 Zn 3.46, 4 Ac 3.46
Y1 0.2500 0.2500 0.7500 x4  4 Ac 3.46, 4 Zn 3.46
Zn1 0.0000 0.0000 0.5000 x4  4 Y 3.46, 4 La 3.46

=====

No. 5
First-principles (PBE) data for an optimized crystal structure of Nd2SnS5, as listed in Alexandria via LeMat-Bulk.

offset from the most stable computed form	136.0	meV per atom
theoretical density	3.9	Mg/m³

a b c (Å): 5.2958 13.8862 13.1327
angles (deg): 90.00 90.00 90.00
Closest atoms and distances in Å follow each position.
Space group Cmcm (No. 63)
Inequivalent atoms, fractional coordinates:
Nd1 0.0000 0.1491 0.0691 x8  6 S 2.76-2.97
Sn1 0.0000 0.1692 0.7500 x4  6 S 2.49-2.75
S1 0.0000 0.0454 0.6129 x8  1 Sn 2.49, 1 Nd 2.76
S2 0.0000 0.2775 0.2500 x4  2 Sn 2.75, 2 Nd 2.97
S3 0.0000 0.2921 0.5965 x8  1 Sn 2.64, 3 Nd 2.79-2.95

=====

No. 6
First-principles (PBE) data for an optimized crystal structure of La2TbNd6Sm3, as listed in Alexandria via LeMat-Bulk.

raw total energy	-114.111	eV per cell
theoretical density	6.9	Mg/m³

a b c (Å): 6.3630 11.0218 12.1775
angles (deg): 90.00 100.13 90.00
Closest atoms and distances in Å follow each position.
Space group C2/m (No. 12)
Inequivalent atoms, fractional coordinates:
La1 0.0000 0.1669 0.0000 x4  3 La 3.67-3.68, 3 Tb 3.67, 6 Nd 3.69-3.70
Tb1 0.0000 0.5000 0.0000 x2  6 La 3.67, 6 Nd 3.69
Nd1 0.2483 0.5000 0.7478 x4  3 Sm 3.65-3.66, 6 Nd 3.66-3.68, 1 Tb 3.69, 2 La 3.69
Nd2 0.2501 0.1660 0.7480 x8  3 Sm 3.65-3.66, 6 Nd 3.66-3.68, 1 Tb 3.69, 2 La 3.69-3.70
Sm1 0.0000 0.0000 0.5000 x2  6 Nd 3.65-3.66, 6 Sm 3.67-3.68
Sm2 0.0000 0.3337 0.5000 x4  6 Nd 3.65-3.66, 6 Sm 3.67-3.68

=====

No. 7
First-principles (PBE) data for an optimized crystal structure of K2CdFe, as listed in Alexandria via LeMat-Bulk.

raw total energy	-9.187	eV per cell
theoretical density	2.7	Mg/m³

a b c (Å): 5.1653 4.7769 6.7546
angles (deg): 90.00 112.21 90.00
Closest atoms and distances in Å follow each position.
Space group Pm (No. 6)
Inequivalent atoms, fractional coordinates:
K1 0.0000 0.0000 0.0000 x1  3 Cd 3.57-3.78, 4 Fe 3.75
K2 0.2918 0.5000 0.5943 x1  3 Fe 3.52-3.84, 4 Cd 3.73
Cd1 0.6934 0.0000 0.3958 x1  2 Fe 2.66
Fe1 0.6032 0.5000 0.2090 x1  2 Cd 2.66